Entry 1:
Density functional theory data (PBE) for a relaxed structure of LiBeAl2Tc.

ΔE_f = 318 meV/atom
Total moment = 0.4 μB/f.u.

extended XYZ file:
```
5
Lattice="4.254 0.000 0.000 0.000 4.254 0.000 0.000 0.000 4.188" Properties=species:S:1:pos:R:3 pbc="T T T"
Li 2.127 2.127 2.094
Be 0.000 0.000 0.000
Al 0.000 2.127 0.000
Al 2.127 0.000 0.000
Tc 0.000 0.000 2.094
```



Entry 2:
Density functional theory data (PBE) for a relaxed structure of Li2BeAlTe4.

Total moment = 0.0 μB/f.u.
Energy relative to the elements, uncorrected = -0.533 eV/atom

extended XYZ file:
```
8
Lattice="-3.902 -4.986 0.401 3.470 -2.334 4.760 -2.996 6.463 1.141" Properties=species:S:1:pos:R:3 pbc="T T T"
Li -1.384 1.555 5.996
Li -1.515 1.320 1.756
Te 0.913 -2.275 4.307
Te -2.628 0.123 3.965
Te -2.090 3.997 1.499
Te -2.688 -3.872 2.407
Al -1.731 -2.337 4.336
Be -5.074 0.232 3.820
```



Entry 3:
Density functional theory data (PBE) for a relaxed structure of LiTmBeAl.

ΔE_f = -126 meV/atom
Total moment = 0.0 μB/f.u.

extended XYZ file:
```
4
Lattice="4.486 0.000 0.000 2.243 3.885 0.000 2.243 1.295 3.663" Properties=species:S:1:pos:R:3 pbc="T T T"
Al 2.243 1.295 0.916
Be 4.486 2.590 1.831
Tm 6.729 3.885 2.747
Li 0.000 0.000 0.000
```



Entry 4:
Density functional theory data (PBE) for a relaxed structure of LiYBeAl2.

ΔE_f = 141 meV/atom
Total moment = 0.0 μB/f.u.

extended XYZ file:
```
5
Lattice="-2.421 -2.921 2.343 0.745 -2.999 -2.969 3.663 -1.271 2.202" Properties=species:S:1:pos:R:3 pbc="T T T"
Al 1.832 -0.635 1.101
Al -1.211 -1.460 1.171
Y 0.993 -3.595 0.788
Be 0.372 -1.499 -1.484
Li 0.000 0.000 0.000
```



Entry 5:
Density functional theory data (PBE) for a relaxed structure of Li2ZrBeAl.

ΔE_f = 387 meV/atom
Total moment = 0.0 μB/f.u.

extended XYZ file:
```
5
Lattice="-0.612 -3.593 -2.326 3.786 1.173 -2.809 2.639 -2.167 2.652" Properties=species:S:1:pos:R:3 pbc="T T T"
Li 1.320 -1.083 1.326
Li -0.306 -1.796 -1.163
Al 2.906 -2.293 -1.242
Be 0.000 0.000 0.000
Zr 1.893 0.587 -1.405
```



Entry 6:
Density functional theory data (PBE) for a relaxed structure of LuBeAl.

ΔE_f = -167 meV/atom
Total moment = 0.0 μB/f.u.

extended XYZ file:
```
3
Lattice="-1.697 3.741 -1.266 -3.890 1.179 1.400 -0.386 3.242 2.797" Properties=species:S:1:pos:R:3 pbc="T T T"
Lu -2.986 4.081 1.465
Al 0.000 0.000 0.000
Be -1.493 2.040 0.733
```



Entry 7:
Density functional theory data (PBE) for a relaxed structure of NdLuBeAl.

ΔE_f = -85 meV/atom
Total moment = 0.0 μB/f.u.

extended XYZ file:
```
4
Lattice="5.017 0.000 0.000 2.509 4.345 0.000 2.509 1.448 4.097" Properties=species:S:1:pos:R:3 pbc="T T T"
Lu 2.509 1.448 1.024
Nd 7.526 4.345 3.073
Al 5.017 2.897 2.048
Be 0.000 0.000 0.000
```



Entry 8:
Density functional theory data (PBE) for a relaxed structure of LuPuBeAl.

ΔE_f = 19 meV/atom
Total moment = 5.3 μB/f.u.

extended XYZ file:
```
4
Lattice="-2.731 3.679 1.730 -1.292 0.080 4.723 1.978 3.306 3.024" Properties=species:S:1:pos:R:3 pbc="T T T"
Be -1.534 5.299 7.108
Al -0.511 1.766 2.369
Lu 0.000 0.000 0.000
Pu -1.023 3.532 4.739
```



Entry 9:
Density functional theory data (PBE) for a relaxed structure of TbLuBeAl.

ΔE_f = -132 meV/atom
Total moment = 0.0 μB/f.u.

extended XYZ file:
```
4
Lattice="4.935 0.000 0.000 2.467 4.274 0.000 2.467 1.425 4.029" Properties=species:S:1:pos:R:3 pbc="T T T"
Al 2.467 1.425 1.007
Tb 0.000 0.000 0.000
Lu 4.935 2.849 2.015
Be 7.402 4.274 3.022
```



Entry 10:
Density functional theory data (PBE) for a relaxed structure of LuThBeAl.

ΔE_f = -67 meV/atom
Total moment = 0.0 μB/f.u.

extended XYZ file:
```
4
Lattice="5.009 0.000 0.000 2.504 4.337 0.000 2.504 1.446 4.089" Properties=species:S:1:pos:R:3 pbc="T T T"
Lu 7.513 4.337 3.067
Al 5.009 2.892 2.045
Th 2.504 1.446 1.022
Be 0.000 0.000 0.000
```



Entry 11:
Density functional theory data (PBE) for a relaxed structure of TmLuBeAl.

ΔE_f = -145 meV/atom
Total moment = 0.0 μB/f.u.

extended XYZ file:
```
4
Lattice="4.884 0.000 0.000 2.442 4.230 0.000 2.442 1.410 3.988" Properties=species:S:1:pos:R:3 pbc="T T T"
Lu 2.442 1.410 0.997
Al 0.000 0.000 0.000
Tm 7.326 4.230 2.991
Be 4.884 2.820 1.994
```



Entry 12:
Density functional theory data (PBE) for a relaxed structure of YLuBeAl.

ΔE_f = -147 meV/atom
Total moment = 0.0 μB/f.u.

extended XYZ file:
```
4
Lattice="-4.289 1.925 1.478 -4.240 -2.185 -1.241 -2.682 -2.304 3.433" Properties=species:S:1:pos:R:3 pbc="T T T"
Be -8.408 -1.922 2.753
Lu -5.605 -1.282 1.836
Y 0.000 0.000 0.000
Al -2.803 -0.641 0.918
```



Entry 13:
Density functional theory data (PBE) for a relaxed structure of LuZrBeAl.

ΔE_f = -141 meV/atom
Total moment = 0.0 μB/f.u.

extended XYZ file:
```
4
Lattice="-0.649 2.893 3.701 -4.368 0.748 1.687 -1.253 -1.783 4.212" Properties=species:S:1:pos:R:3 pbc="T T T"
Be 0.000 0.000 0.000
Al -3.135 0.929 4.800
Lu -1.567 0.465 2.400
Zr -4.702 1.394 7.200
```



Entry 14:
Density functional theory data (PBE) for a relaxed structure of Mg2BeAl.

Excess energy over the best structure of this formula in the dataset = 0.1556 eV/atom
ΔE_f = 228 meV/atom
Total moment = 0.0 μB/f.u.

extended XYZ file:
```
4
Lattice="5.683 -0.017 -0.023 2.933 4.868 0.023 -3.690 -3.524 2.503" Properties=species:S:1:pos:R:3 pbc="T T T"
Mg 3.092 -0.591 1.240
Mg 0.301 0.170 0.000
Al 3.970 2.235 0.000
Be 1.872 1.939 1.263
```



Entry 15:
Density functional theory data (PBE) for a relaxed structure of MgBe2Al2.

Excess energy over the best structure of this formula in the dataset = 0.0588 eV/atom
ΔE_f = 275 meV/atom
Total moment = 0.0 μB/f.u.

extended XYZ file:
```
5
Lattice="-3.183 1.920 -0.032 -1.849 -3.049 1.051 -1.734 0.823 5.909" Properties=species:S:1:pos:R:3 pbc="T T T"
Al -2.335 -0.243 1.760
Al -4.432 -0.063 5.168
Be -3.717 1.089 3.193
Be -3.050 -1.395 3.735
Mg 0.000 0.000 0.000
```



Entry 16:
Density functional theory data (PBE) for a relaxed structure of MgBeAl2.

Excess energy over the best structure of this formula in the dataset = 0.1225 eV/atom
ΔE_f = 197 meV/atom
Total moment = 0.0 μB/f.u.

extended XYZ file:
```
4
Lattice="-4.420 -2.554 -2.546 0.585 -4.203 -3.812 0.633 2.171 5.237" Properties=species:S:1:pos:R:3 pbc="T T T"
Mg -0.350 -2.705 -0.877
Be -2.852 -1.880 -0.244
Al -2.077 -3.659 -3.444
Al -3.675 -6.475 -6.094
```



Entry 17:
Density functional theory data (PBE) for a relaxed structure of MgBeAl.

Excess energy over the best structure of this formula in the dataset = 0.1192 eV/atom
ΔE_f = 189 meV/atom
Total moment = 0.0 μB/f.u.

extended XYZ file:
```
3
Lattice="-0.914 2.751 2.982 -2.565 -1.064 3.096 1.491 -0.530 3.846" Properties=species:S:1:pos:R:3 pbc="T T T"
Mg 0.000 0.000 0.000
Be -1.492 0.867 7.443
Al -0.994 0.578 4.962
```



Entry 18:
Density functional theory data (PBE) for a relaxed structure of Mg2BeAl.

Excess energy over the best structure of this formula in the dataset = 0.2270 eV/atom
ΔE_f = 299 meV/atom
Total moment = 0.0 μB/f.u.

extended XYZ file:
```
4
Lattice="4.888 0.028 -0.026 3.998 2.813 -0.026 1.042 0.333 5.165" Properties=species:S:1:pos:R:3 pbc="T T T"
Mg 8.814 2.818 0.009
Mg 5.036 1.610 2.494
Be 2.482 0.794 1.278
Al 7.446 2.381 3.834
```



Entry 19:
Density functional theory data (PBE) for a relaxed structure of MgBeAl2.

Excess energy over the best structure of this formula in the dataset = 0.2187 eV/atom
ΔE_f = 293 meV/atom
Total moment = 0.0 μB/f.u.

extended XYZ file:
```
4
Lattice="4.489 0.000 0.000 2.244 3.887 0.000 2.244 1.296 3.665" Properties=species:S:1:pos:R:3 pbc="T T T"
Mg 6.733 3.887 2.749
Al 0.000 0.000 0.000
Al 2.244 1.296 0.916
Be 4.489 2.592 1.832
```



Entry 20:
Density functional theory data (PBE) for a relaxed structure of MgBeAl4.

ΔE_f = 329 meV/atom
Total moment = 0.0 μB/f.u.

extended XYZ file:
```
6
Lattice="0.000 3.740 3.740 3.740 0.000 3.740 3.740 3.740 0.000" Properties=species:S:1:pos:R:3 pbc="T T T"
Al 4.674 2.807 4.674
Al 2.807 2.807 2.807
Al 4.674 4.674 2.807
Al 2.807 4.674 4.674
Mg 0.000 0.000 0.000
Be 5.611 5.611 5.611
```